Be2TlCd: optimized geometry, GGA-PBE.

abc: 5.117 5.117 5.117
angles: 133.75 133.75 67.48
Fractional coordinates of all 4 atoms:
Be1 0.250 0.750 0.500
Tl1 0.750 0.250 0.500
Cd1 0.500 0.500 0.000
Be2 0.000 0.000 0.000

**Relative energy among the computed polymorphs**: 1.09 eV/f.u.
**Space group**: No. 119

HfTi2Rh: optimized geometry, GGA-PBE.

abc: 4.773 3.809 3.809
angles: 90.00 90.00 90.00
Each line ends with the local moment (μB).
Fractional coordinates of all 4 atoms:
Ti1 0.000 0.000 0.500  0.41
Hf1 0.500 0.500 0.500  0.06
Ti2 0.000 0.500 0.000  0.41
Rh1 0.500 0.000 0.000  0.01

**Space group**: No. 123

K2NiRh: optimized geometry, GGA-PBE.

abc: 3.396 3.396 9.883
angles: 90.00 90.00 90.00
Each line ends with the local moment (μB).
Fractional coordinates of all 4 atoms:
Rh1 0.500 0.500 0.656  0.34
Ni1 0.000 0.000 0.593  0.53
K1 0.000 0.000 0.905  0.00
K2 0.500 0.500 0.346  0.00

**Relative energy among the computed polymorphs**: 0.14 eV/f.u.
**Space group**: No. 99

Number 1: calculated formation energy 0.736 eV/atom. Number 2: calculated formation energy -0.322 eV/atom. Number 3: calculated formation energy 0.420 eV/atom.